# 1
Mn2MoCl | GGA-PBE | optimized geometry

Results
Distance to the lowest polymorph of the same formula: 444 meV/atom
Energy relative to the elements, uncorrected: 0.586 eV/atom
Uncorrected energy: -7.168 eV/atom
Mass density: 6.577 g/cm³
Symmetry: Cmmm (65)

Cell and atoms, written as POSCAR:
```
Mn2MoCl
1.0
4.784 -0.014 0.000
-2.003 4.345 0.000
0.000 0.000 2.934
Mo Mn Cl
1 2 1
Cartesian
2.392 -0.007 1.467 Mo
0.000 0.000 0.000 Mn
1.391 2.166 0.000 Mn
-1.002 2.172 1.467 Cl
```



# 2
ZnRh2Br | GGA-PBE | optimized geometry

Results
Distance to the lowest polymorph of the same formula: 204 meV/atom
Energy relative to the elements, uncorrected: 0.313 eV/atom
Uncorrected energy: -4.099 eV/atom
Mass density: 9.033 g/cm³
Symmetry: Pmmm (47)

Cell and atoms, written as POSCAR:
```
ZnRh2Br
1.0
2.980 0.000 0.000
0.000 4.988 0.000
0.000 0.000 4.342
Br Rh Zn
1 2 1
Cartesian
0.000 2.494 2.171 Br
0.000 0.000 0.000 Rh
1.490 2.494 0.000 Rh
1.490 0.000 2.171 Zn
```



# 3
Cd3CuAg2 | GGA-PBE | optimized geometry

Results
Uncorrected energy: -2.091 eV/atom
Mass density: 9.197 g/cm³
Symmetry: Cmmm (65)
Energy of formation: 0.00 eV/atom

Cell and atoms, written as POSCAR:
```
Cd3CuAg2
1.0
4.301 0.000 0.020
2.150 6.415 0.010
-0.036 0.000 8.069
Cd Cu Ag
6 2 4
Cartesian
4.274 2.175 6.188 Cd
2.141 0.000 1.956 Cd
2.141 4.240 1.911 Cd
4.291 2.175 1.921 Cd
2.123 4.240 6.178 Cd
2.123 0.000 6.133 Cd
2.150 2.175 0.010 Cu
4.301 4.241 0.020 Cu
0.000 0.000 0.000 Ag
-0.018 0.000 4.034 Ag
2.132 2.142 4.044 Ag
4.282 4.274 4.055 Ag
```



# 4
Ca3Sm3Ga4 | GGA-PBE | optimized geometry

Results
Uncorrected energy: -3.661 eV/atom
Mass density: 5.123 g/cm³
Symmetry: Amm2 (38)
Energy of formation: -0.43 eV/atom

Cell and atoms, written as POSCAR:
```
Ca3Sm3Ga4
1.0
4.123 0.000 0.000
0.000 8.176 -0.042
0.000 0.030 8.176
Ca Sm Ga
3 3 4
Cartesian
0.000 4.121 8.154 Ca
0.000 0.016 4.085 Ca
2.061 1.435 6.758 Ca
2.061 6.753 1.394 Sm
2.061 2.669 2.650 Sm
2.061 5.533 5.488 Sm
0.000 5.099 3.063 Ga
0.000 3.185 4.993 Ga
0.000 7.182 7.179 Ga
0.000 0.964 1.016 Ga
```



# 5
Pm6HRh2 | GGA-PBE | optimized geometry

Results
Distance to the lowest polymorph of the same formula: 0 meV/atom
Uncorrected energy: -5.647 eV/atom
Mass density: 7.697 g/cm³
Symmetry: P2_1/c (14)

Cell and atoms, written as POSCAR:
```
Pm6HRh2
1.0
6.488 0.000 -0.162
0.000 7.247 0.000
0.078 0.000 9.879
Pm H Rh
12 2 4
Cartesian
0.956 0.254 2.474 Pm
1.152 2.355 5.554 Pm
1.157 2.375 9.205 Pm
2.204 5.999 5.533 Pm
2.208 5.979 9.184 Pm
2.326 3.878 2.385 Pm
5.609 6.993 7.243 Pm
5.413 4.892 4.163 Pm
5.409 4.872 0.512 Pm
4.362 1.249 4.185 Pm
4.357 1.269 0.534 Pm
4.239 3.370 7.333 Pm
3.244 3.624 -0.081 H
0.039 0.000 4.940 H
0.493 4.500 7.322 Rh
2.867 0.876 7.416 Rh
3.698 6.371 2.301 Rh
6.072 2.747 2.396 Rh
```



# 6
GdZn2Sb | GGA-PBE | optimized geometry

Results
Energy relative to the elements, uncorrected: -0.435 eV/atom
Uncorrected energy: -5.623 eV/atom
Mass density: 7.768 g/cm³
Symmetry: P4/mmm (123)

Cell and atoms, written as POSCAR:
```
GdZn2Sb
1.0
4.591 0.000 0.000
0.000 4.368 0.000
0.000 0.000 4.368
Sb Zn Gd
1 2 1
Cartesian
2.296 0.000 0.000 Sb
0.000 0.000 2.184 Zn
0.000 2.184 0.000 Zn
2.296 2.184 2.184 Gd
```